(1)
Below is a relaxed structure of LiAgOs2, with properties calculated at the PBE level.

Values from the calculation:
The volume comes out at 14.93 Å³/atom. The value obtained for the formation energy is 0.42 eV/atom. The calculated total energy comes out at -6.390 eV per atom. The calculation puts the distance to the lowest polymorph of the same formula at 4.076 kcal/mol of atoms. The symmetry is No. 47.

Unit cell a=2.742 b=4.495 c=4.846 alpha=90.00 beta=90.00 gamma=90.00
Positions (direct):
Li  0.000  0.500  0.500
Os  0.500  0.500  0.000
Ag  0.500  0.000  0.500
Os  0.000  0.000  0.000

=====

(2)
Below is a relaxed structure of LiAgOs2, with properties calculated at the PBE level.

Values from the calculation:
The volume comes out at 14.22 Å³/atom. The value obtained for the formation energy is 0.60 eV/atom. The calculated total energy comes out at -6.203 eV per atom. The calculation puts the distance to the lowest polymorph of the same formula at 8.391 kcal/mol of atoms. The symmetry is No. 44.

Unit cell a=5.041 b=5.041 c=5.041 alpha=146.07 beta=126.37 gamma=64.99
Positions (direct):
Li  0.252  0.752  0.500
Os  0.760  0.260  0.500
Os  0.005  0.005  0.000
Ag  0.483  0.483  0.000